(i)
ReIrPt2 at its PBEsol-relaxed geometry. Source: Alexandria via LeMat-Bulk, functional SCAN.

a = 2.7341 Å, b = 2.7341 Å, c = 27.1165 Å
α = 90.00°, β = 90.00°, γ = 120.00°
Space group R3m (No. 160, hexagonal axes)
Symmetry-distinct sites (fractional):
Re1 0.0000 0.0000 0.0000 (multiplicity 3)
Ir1 0.0000 0.0000 0.7448 (multiplicity 3)
Pt1 0.0000 0.0000 0.2508 (multiplicity 3)
Pt2 0.0000 0.0000 0.4973 (multiplicity 3)

Computed properties:
density of states at the Fermi level	3.45	states/eV/f.u.


(ii)
ReIrPt2 at its PBEsol-relaxed geometry. Source: Alexandria via LeMat-Bulk, functional SCAN.

a = 2.7338 Å, b = 3.8722 Å, c = 5.5039 Å
α = 90.00°, β = 90.00°, γ = 90.00°
Space group Pmm2 (No. 25)
Symmetry-distinct sites (fractional):
Re1 0.0000 0.0000 0.0000 (multiplicity 1)
Ir1 0.5000 0.5000 0.2268 (multiplicity 1)
Pt1 0.0000 0.0000 0.4892 (multiplicity 1)
Pt2 0.5000 0.5000 0.7464 (multiplicity 1)

Computed properties:
density of states at the Fermi level	2.54	states/eV/f.u.


(iii)
ReIrPt2 at its PBEsol-relaxed geometry. Source: Alexandria via LeMat-Bulk, functional SCAN.

a = 2.7300 Å, b = 2.7300 Å, c = 7.8530 Å
α = 90.00°, β = 90.00°, γ = 90.00°
Space group P4mm (No. 99)
Symmetry-distinct sites (fractional):
Re1 0.0000 0.0000 0.0000 (multiplicity 1)
Ir1 0.5000 0.5000 0.2309 (multiplicity 1)
Pt1 0.0000 0.0000 0.4886 (multiplicity 1)
Pt2 0.5000 0.5000 0.7536 (multiplicity 1)

Computed properties:
density of states at the Fermi level	2.81	states/eV/f.u.


The least stable of them is (i).


(i)
ReIrPt2 at its PBEsol-relaxed geometry. Source: Alexandria via LeMat-Bulk, functional SCAN.

a = 3.8540 Å, b = 3.8540 Å, c = 7.8114 Å
α = 90.00°, β = 90.00°, γ = 90.00°
Space group I-4m2 (No. 119)
Symmetry-distinct sites (fractional):
Re1 0.0000 0.0000 0.0000 (multiplicity 2)
Ir1 0.0000 0.5000 0.2500 (multiplicity 2)
Pt1 0.0000 0.0000 0.5000 (multiplicity 2)
Pt2 0.0000 0.5000 0.7500 (multiplicity 2)

Computed properties:
density of states at the Fermi level	3.29	states/eV/f.u.


(ii)
ReIrPt2 at its PBEsol-relaxed geometry. Source: Alexandria via LeMat-Bulk, functional SCAN.

a = 9.1377 Å, b = 2.7181 Å, c = 4.7478 Å
α = 90.00°, β = 99.67°, γ = 90.00°
Space group Cm (No. 8)
Symmetry-distinct sites (fractional):
Re1 0.0000 0.0000 0.0000 (multiplicity 2)
Ir1 0.2439 0.5000 0.2298 (multiplicity 2)
Pt1 0.2504 0.0000 0.7447 (multiplicity 2)
Pt2 0.4959 0.0000 0.4925 (multiplicity 2)

Computed properties:
density of states at the Fermi level	3.18	states/eV/f.u.


The least stable of them is (i).